Density functional theory data (PBE) for a geometry-optimized K2AuSe structure.

```
K2AuSe
1.0
7.658 0.000 0.000
0.000 7.658 0.000
0.000 0.000 7.658
K Au Se
8 4 4
direct
0.000 0.000 0.000
0.000 0.500 0.500
0.250 0.250 0.250
0.250 0.750 0.750
0.500 0.000 0.500
0.500 0.500 0.000
0.750 0.250 0.750
0.750 0.750 0.250
0.250 0.250 0.750
0.250 0.750 0.250
0.750 0.250 0.250
0.750 0.750 0.750
0.000 0.000 0.500
0.000 0.500 0.000
0.500 0.000 0.000
0.500 0.500 0.500
```

---

Density functional theory data (PBE) for a geometry-optimized K2AuSe2 structure.

```
K2AuSe2
1.0
7.514 0.000 0.000
0.000 10.382 0.000
0.000 0.000 3.870
K Au Se
4 2 4
direct
0.092 0.169 0.000
0.408 0.669 0.000
0.592 0.331 0.000
0.908 0.831 0.000
0.000 0.500 0.000
0.500 0.000 0.000
0.216 0.429 0.500
0.284 0.929 0.500
0.716 0.071 0.500
0.784 0.571 0.500
```

---

Density functional theory data (PBE) for a geometry-optimized KAuSe6 structure.

```
KAuSe6
1.0
4.930 0.000 0.000
2.094 6.450 0.000
0.419 0.960 7.566
K Au Se
1 1 6
direct
0.000 0.000 0.000
0.500 0.000 0.500
0.039 0.264 0.339
0.279 0.736 0.424
0.300 0.453 0.958
0.700 0.547 0.042
0.721 0.264 0.576
0.961 0.736 0.661
```

---

Density functional theory data (PBE) for a geometry-optimized KAuSe3 structure.

```
KAuSe3
1.0
4.047 2.337 4.550
-4.047 2.337 4.550
0.000 -4.673 4.550
K Au Se
2 2 6
direct
0.000 0.000 0.000
0.500 0.500 0.500
0.251 0.251 0.251
0.751 0.751 0.751
0.079 0.922 0.499
0.422 0.579 0.999
0.499 0.079 0.922
0.579 0.999 0.422
0.922 0.499 0.079
0.999 0.422 0.579
```

---

Density functional theory data (PBE) for a geometry-optimized K2Au2Se structure.

```
K2Au2Se
1.0
7.436 0.000 0.000
0.000 7.436 0.000
0.000 0.000 5.009
K Au Se
4 4 2
direct
0.179 0.321 0.000
0.321 0.821 0.000
0.679 0.179 0.000
0.821 0.679 0.000
0.131 0.631 0.500
0.369 0.131 0.500
0.631 0.869 0.500
0.869 0.369 0.500
0.000 0.000 0.500
0.500 0.500 0.500
```

E above lowest polymorph in kJ/mol of formula units: 69

---

Density functional theory data (PBE) for a geometry-optimized KAu2Se structure.

```
KAu2Se
1.0
12.644 0.000 0.000
0.000 2.857 0.000
-2.104 0.000 5.036
K Au Se
2 4 2
direct
0.000 0.000 0.000
0.500 0.500 0.000
0.222 0.000 0.738
0.278 0.500 0.262
0.722 0.500 0.738
0.778 0.000 0.262
0.000 0.500 0.500
0.500 0.000 0.500
```

---

Density functional theory data (PBE) for a geometry-optimized K3AuSe structure.

```
K3AuSe
1.0
6.193 0.000 0.000
0.000 6.193 0.000
0.000 0.000 6.193
K Au Se
3 1 1
direct
0.000 0.000 0.500
0.000 0.500 0.000
0.500 0.000 0.000
0.500 0.500 0.500
0.000 0.000 0.000
```

E above lowest polymorph in kJ/mol of formula units: 0

---

Density functional theory data (PBE) for a geometry-optimized K3AuSe2 structure.

```
K3AuSe2
1.0
-3.697 6.654 4.420
3.697 -6.654 4.420
3.697 6.654 -4.420
K Au Se
6 2 4
direct
0.036 0.750 0.286
0.250 0.250 0.000
0.464 0.750 0.714
0.536 0.250 0.286
0.750 0.750 0.000
0.964 0.250 0.714
0.000 0.500 0.500
0.500 0.000 0.500
0.121 0.242 0.363
0.379 0.742 0.121
0.621 0.258 0.879
0.879 0.758 0.637
```

---

Density functional theory data (PBE) for a geometry-optimized KAu2Se structure.

```
KAu2Se
1.0
4.066 0.000 0.000
0.000 4.111 0.000
0.000 0.000 10.612
K Au Se
2 4 2
direct
0.000 0.000 0.000
0.500 0.500 0.000
0.000 0.500 0.248
0.000 0.500 0.752
0.500 0.000 0.248
0.500 0.000 0.752
0.000 0.000 0.500
0.500 0.500 0.500
```

---

Density functional theory data (PBE) for a geometry-optimized KAu3Se structure.

```
KAu3Se
1.0
5.460 0.000 0.000
0.000 5.460 0.000
0.000 0.000 5.460
K Au Se
1 3 1
direct
0.000 0.000 0.000
0.000 0.000 0.500
0.000 0.500 0.000
0.500 0.000 0.000
0.500 0.500 0.500
```

E above lowest polymorph in kJ/mol of formula units: 655

---

Density functional theory data (PBE) for a geometry-optimized KAu2Se structure.

```
KAu2Se
1.0
2.976 0.000 0.000
0.000 5.347 0.000
0.000 0.000 5.638
K Au Se
1 2 1
direct
0.000 0.000 0.000
0.500 0.500 0.249
0.500 0.500 0.751
0.500 0.000 0.500
```

---

Density functional theory data (PBE) for a geometry-optimized KAuSe3 structure.

```
KAuSe3
1.0
5.636 0.000 0.000
0.000 5.636 0.000
0.000 0.000 5.636
K Au Se
1 1 3
direct
0.000 0.000 0.000
0.500 0.500 0.500
0.000 0.000 0.500
0.000 0.500 0.000
0.500 0.000 0.000
```

---

Density functional theory data (PBE) for a geometry-optimized K2AuSe structure.

```
K2AuSe
1.0
3.118 0.000 0.000
0.000 4.340 0.000
-0.011 0.000 8.574
K Au Se
2 1 1
direct
0.002 0.000 0.229
0.998 0.000 0.771
0.500 0.500 0.500
0.500 0.500 0.000
```

---

Density functional theory data (PBE) for a geometry-optimized KAu2Se structure.

```
KAu2Se
1.0
3.854 0.000 0.000
0.000 5.919 0.000
0.000 0.000 9.564
K Au Se
2 4 2
direct
0.000 0.000 0.000
0.500 0.500 0.500
0.000 0.000 0.521
0.000 0.500 0.824
0.500 0.000 0.324
0.500 0.500 0.021
0.000 0.500 0.197
0.500 0.000 0.697
```

---

Density functional theory data (PBE) for a geometry-optimized K2Au2Se structure.

```
K2Au2Se
1.0
6.506 0.000 0.000
0.000 6.506 0.000
0.000 0.000 7.638
K Au Se
4 4 2
direct
0.000 0.500 0.250
0.000 0.500 0.750
0.500 0.000 0.250
0.500 0.000 0.750
0.000 0.000 0.169
0.000 0.000 0.831
0.500 0.500 0.331
0.500 0.500 0.669
0.000 0.000 0.500
0.500 0.500 0.000
```

E above lowest polymorph in kJ/mol of formula units: 0

---

Density functional theory data (PBE) for a geometry-optimized K3AuSe13 structure.

```
K3AuSe13
1.0
15.247 0.000 0.000
0.000 5.118 0.000
-1.052 0.000 13.814
K Au Se
6 2 26
direct
0.000 0.165 0.250
0.000 0.835 0.750
0.276 0.202 0.162
0.276 0.798 0.662
0.724 0.202 0.338
0.724 0.798 0.838
0.500 0.000 0.000
0.500 0.000 0.500
0.070 0.317 0.580
0.070 0.683 0.080
0.148 0.079 0.464
0.148 0.921 0.964
0.150 0.308 0.733
0.150 0.692 0.233
0.268 0.358 0.424
0.268 0.642 0.924
0.380 0.296 0.552
0.380 0.704 0.052
0.412 0.091 0.842
0.412 0.909 0.342
0.500 0.365 0.750
0.500 0.635 0.250
0.588 0.091 0.658
0.588 0.909 0.158
0.620 0.296 0.948
0.620 0.704 0.448
0.732 0.358 0.076
0.732 0.642 0.576
0.850 0.308 0.767
0.850 0.692 0.267
0.852 0.079 0.036
0.852 0.921 0.536
0.930 0.317 0.920
0.930 0.683 0.420
```

---

Density functional theory data (PBE) for a geometry-optimized K2AuSe structure.

```
K2AuSe
1.0
6.012 0.000 0.000
0.000 3.076 0.000
0.000 0.000 12.609
K Au Se
4 2 2
direct
0.000 0.000 0.000
0.000 0.500 0.500
0.500 0.000 0.242
0.500 0.500 0.742
0.000 0.000 0.741
0.000 0.500 0.241
0.500 0.000 0.506
0.500 0.500 0.006
```

---

Density functional theory data (PBE) for a geometry-optimized KAu2Se structure.

```
KAu2Se
1.0
4.337 0.000 0.000
0.000 4.337 0.000
0.000 0.000 4.778
K Au Se
1 2 1
direct
0.000 0.000 0.000
0.000 0.500 0.500
0.500 0.000 0.500
0.500 0.500 0.000
```

---

Density functional theory data (PBE) for a geometry-optimized K2SiAuSe4 structure.

```
K2SiAuSe4
1.0
7.648 0.000 0.000
0.000 7.648 0.000
0.000 0.000 7.920
K Si Au Se
4 2 2 8
direct
0.000 0.000 0.000
0.000 0.500 0.250
0.500 0.000 0.750
0.500 0.500 0.500
0.000 0.500 0.750
0.500 0.000 0.250
0.000 0.000 0.500
0.500 0.500 0.000
0.151 0.288 0.602
0.212 0.651 0.898
0.288 0.849 0.398
0.349 0.212 0.102
0.651 0.788 0.102
0.712 0.151 0.398
0.788 0.349 0.898
0.849 0.712 0.602
```

---

Density functional theory data (PBE) for a geometry-optimized K2SnAuSe4 structure.

```
K2SnAuSe4
1.0
8.090 0.000 0.000
0.000 8.090 0.000
0.000 0.000 7.209
K Sn Au Se
4 2 2 8
direct
0.000 0.500 0.000
0.000 0.500 0.500
0.500 0.000 0.000
0.500 0.000 0.500
0.000 0.000 0.000
0.500 0.500 0.500
0.000 0.000 0.500
0.500 0.500 0.000
0.167 0.167 0.761
0.167 0.833 0.239
0.333 0.333 0.261
0.333 0.667 0.739
0.667 0.333 0.739
0.667 0.667 0.261
0.833 0.167 0.239
0.833 0.833 0.761
```

---

Density functional theory data (PBE) for a geometry-optimized KSrAuSe2 structure.

```
KSrAuSe2
1.0
4.197 -7.931 0.000
4.197 7.931 0.000
0.000 0.000 5.382
K Sr Au Se
2 2 2 4
direct
0.250 0.750 0.788
0.750 0.250 0.212
0.250 0.250 0.500
0.750 0.750 0.500
0.000 0.000 0.000
0.500 0.500 0.000
0.123 0.877 0.279
0.377 0.623 0.279
0.623 0.377 0.721
0.877 0.123 0.721
```

---

Density functional theory data (PBE) for a geometry-optimized KTb2AuSe4 structure.

```
KTb2AuSe4
1.0
2.091 -7.072 0.000
2.091 7.072 0.000
0.000 0.000 14.752
K Tb Au Se
2 4 2 8
direct
0.126 0.874 0.750
0.874 0.126 0.250
0.369 0.631 0.570
0.369 0.631 0.930
0.631 0.369 0.070
0.631 0.369 0.430
0.156 0.844 0.250
0.844 0.156 0.750
0.000 0.000 0.000
0.000 0.000 0.500
0.266 0.734 0.104
0.266 0.734 0.396
0.454 0.546 0.750
0.546 0.454 0.250
0.734 0.266 0.604
0.734 0.266 0.896
```

---

Density functional theory data (PBE) for a geometry-optimized KTe2AuSe4 structure.

```
KTe2AuSe4
1.0
7.413 0.000 0.000
0.000 7.413 0.000
0.000 0.000 8.770
K Te Au Se
2 4 2 8
direct
0.000 0.000 0.000
0.500 0.500 0.500
0.000 0.500 0.250
0.000 0.500 0.750
0.500 0.000 0.250
0.500 0.000 0.750
0.000 0.000 0.500
0.500 0.500 0.000
0.214 0.214 0.353
0.214 0.786 0.647
0.286 0.286 0.853
0.286 0.714 0.147
0.714 0.286 0.147
0.714 0.714 0.853
0.786 0.214 0.647
0.786 0.786 0.353
```

---

Density functional theory data (PBE) for a geometry-optimized K4Te2AuSe2 structure.

```
K4Te2AuSe2
1.0
5.717 -4.919 0.000
5.717 4.919 0.000
-0.768 0.000 5.480
K Te Au Se
4 2 1 2
direct
0.074 0.685 0.735
0.315 0.926 0.265
0.685 0.074 0.735
0.926 0.315 0.265
0.368 0.368 0.049
0.632 0.632 0.951
0.500 0.500 0.500
0.138 0.138 0.768
0.862 0.862 0.232
```

---

no.,uncorrected formation energy (meV/atom)
1,-416.1
2,-743.4
3,-182.3
4,-158.3
5,-388.0
6,-142.6
7,-640.6
8,-926.3
9,186.7
10,1351.4
11,-152.7
12,1240.0
13,-545.6
14,-134.8
15,-531.3
16,-399.0
17,-542.0
18,8.4
19,-683.6
20,-585.8
21,-1174.0
22,-1445.2
23,-202.0
24,-708.9